# LaFe3Au

An optimized crystal structure of LaFe3Au (GGA-PBE, the Alexandria database).

Fermi-level density of states   6.15 states/eV/f.u.
Energy   -5.15 eV per atom
Spin magnetization   5.86 μB per formula unit

Cell and atoms, written as POSCAR:
```
LaFe3Au
1.0
4.5735 0.0000 0.0000
0.0000 4.5735 0.0000
0.0000 0.0000 4.5735
Fe Au La
3 1 1
Cartesian
0.0000 2.2867 0.0000
2.2867 0.0000 0.0000
0.0000 0.0000 2.2867
2.2867 2.2867 2.2867
0.0000 0.0000 0.0000
```